(1)
VASP calculation (PBE) on LiAsOsO6 after structural relaxation.

```
data_LiAsOsO6
_chemical_formula_sum 'Li2 As2 Os2 O12'
_cell_length_a 4.4923
_cell_length_b 4.4923
_cell_length_c 9.1331
_cell_angle_alpha 90.00
_cell_angle_beta 90.00
_cell_angle_gamma 90.00
_space_group_name_H-M_alt 'P 42 n m'
_space_group_IT_number 102
loop_
_space_group_symop_operation_xyz
'x,y,z'
'-y+1/2,x+1/2,z+1/2'
'-x,-y,z'
'y+1/2,-x+1/2,z+1/2'
'-x+1/2,y+1/2,z+1/2'
'y,x,z'
'x+1/2,-y+1/2,z+1/2'
'-y,-x,z'
loop_
_atom_site_label
_atom_site_type_symbol
_atom_site_fract_x
_atom_site_fract_y
_atom_site_fract_z
Li1 Li 0.0000 0.0000 0.0000
As1 As 0.0000 0.0000 0.6575
Os1 Os 0.0000 0.0000 0.3321
O1 O 0.1903 0.1903 0.4929
O2 O 0.2095 0.2095 0.8148
O3 O 0.2121 0.2121 0.1640
```

- total energy (eV per atom) = -6.4669


(2)
VASP calculation (PBE) on LiAsP2O after structural relaxation.

```
data_LiAsP2O
_chemical_formula_sum 'Li1 As1 P2 O1'
_cell_length_a 4.9418
_cell_length_b 4.9418
_cell_length_c 3.6224
_cell_angle_alpha 90.00
_cell_angle_beta 90.00
_cell_angle_gamma 90.00
_space_group_name_H-M_alt 'P 4/m m m'
_space_group_IT_number 123
_space_group_name_Hall '-P 4 2'
loop_
_atom_site_label
_atom_site_type_symbol
_atom_site_fract_x
_atom_site_fract_y
_atom_site_fract_z
Li1 Li 0.0000 0.0000 0.0000
As1 As 0.5000 0.5000 0.5000
P1 P 0.0000 0.5000 0.5000
O1 O 0.5000 0.5000 0.0000
```

- energy relative to the lowest polymorph listed for this composition (meV/atom) = 0